{
  "formula": "BaDy3Ir",
  "functional": "PBE",
  "state": "optimized geometry",
  "density_g_cm3": 7.90,
  "delta_e_f_mev_per_atom": -321,
  "dft_energy_ev_per_cell": -26.2,
  "dos_ef_per_ev_fu": 5.9,
  "volume_a3_per_atom": 34.4,
  "cell": [[5.5591, 0.0000, 0.0000], [0.0000, 5.5591, 0.0000], [0.0000, 0.0000, 5.5591]],
  "species": ["Ba", "Dy", "Dy", "Dy", "Ir"],
  "fractional_positions": [[0.0000, 0.0000, 0.0000], [0.0000, 0.5000, 0.5000], [0.5000, 0.0000, 0.5000], [0.5000, 0.5000, 0.0000], [0.5000, 0.5000, 0.5000]]
}


{
  "formula": "BaDy2IrO8",
  "functional": "PBE",
  "state": "optimized geometry",
  "density_g_cm3": 8.20,
  "raw_formation_energy_ev_per_fu": -25.4,
  "dft_energy_ev_per_cell": -85.1,
  "dos_ef_per_ev_fu": 5.2,
  "volume_a3_per_atom": 13.2,
  "cell": [[4.3396, 0.0000, 0.0000], [0.1827, 5.2455, 0.0000], [2.1432, 0.0899, 6.9585]],
  "species": ["Ba", "Dy", "Dy", "Ir", "O", "O", "O", "O", "O", "O", "O", "O"],
  "fractional_positions": [[0.0000, 0.0000, 0.0000], [0.3755, 0.5243, 0.3117], [0.6245, 0.4757, 0.6883], [0.0000, 0.0000, 0.5000], [0.1673, 0.3015, 0.6007], [0.2022, 0.7575, 0.6315], [0.3219, 0.4979, 0.0075], [0.3587, 0.9658, 0.2591], [0.6413, 0.0342, 0.7409], [0.6781, 0.5021, 0.9925], [0.7978, 0.2425, 0.3685], [0.8327, 0.6985, 0.3993]]
}


{
  "formula": "Ba3DyIrRuO9",
  "functional": "PBE",
  "state": "optimized geometry",
  "density_g_cm3": 7.45,
  "raw_formation_energy_ev_per_fu": -32.5,
  "dft_energy_ev_per_cell": -211.2,
  "dos_ef_per_ev_fu": 6.2,
  "volume_a3_per_atom": 15.0,
  "cell": [[5.9537, 0.0000, 0.0000], [-2.9769, 5.1561, 0.0000], [0.0000, 0.0000, 14.6845]],
  "species": ["Ba", "Ba", "Ba", "Ba", "Ba", "Ba", "Dy", "Dy", "Ir", "Ir", "Ru", "Ru", "O", "O", "O", "O", "O", "O", "O", "O", "O", "O", "O", "O", "O", "O", "O", "O", "O", "O"],
  "fractional_positions": [[0.0000, 0.0000, 0.0000], [0.0000, 0.0000, 0.5000], [0.3333, 0.6667, 0.1585], [0.3333, 0.6667, 0.8438], [0.6667, 0.3333, 0.3438], [0.6667, 0.3333, 0.6585], [0.0000, 0.0000, 0.2504], [0.0000, 0.0000, 0.7504], [0.3333, 0.6667, 0.4139], [0.6667, 0.3333, 0.9139], [0.3333, 0.6667, 0.5861], [0.6667, 0.3333, 0.0861], [0.0206, 0.5103, 0.5000], [0.1762, 0.3524, 0.6612], [0.1763, 0.3525, 0.3355], [0.1763, 0.8237, 0.3355], [0.1762, 0.8238, 0.6612], [0.3524, 0.1762, 0.1612], [0.3525, 0.1763, 0.8355], [0.4897, 0.5103, 0.5000], [0.4897, 0.9794, 0.5000], [0.5103, 0.0206, 0.0000], [0.5103, 0.4897, 0.0000], [0.6475, 0.8237, 0.3355], [0.6476, 0.8238, 0.6612], [0.8238, 0.1762, 0.1612], [0.8237, 0.1763, 0.8355], [0.8237, 0.6475, 0.8355], [0.8238, 0.6476, 0.1612], [0.9794, 0.4897, 0.0000]]
}


{
  "formula": "BaLaDy",
  "functional": "PBE",
  "state": "optimized geometry",
  "density_g_cm3": 5.89,
  "delta_e_f_mev_per_atom": 155,
  "dft_energy_ev_per_cell": -11.0,
  "dos_ef_per_ev_fu": 5.0,
  "volume_a3_per_atom": 41.3,
  "cell": [[-1.9243, 1.9243, 8.3566], [1.9243, -1.9243, 8.3566], [1.9243, 1.9243, -8.3566]],
  "species": ["Ba", "La", "Dy"],
  "fractional_positions": [[0.0000, 0.0000, 0.0000], [0.6864, 0.6864, 0.0000], [0.3224, 0.3224, 0.0000]]
}


{
  "formula": "BaLaDy2",
  "functional": "PBE",
  "state": "optimized geometry",
  "density_g_cm3": 6.63,
  "delta_e_f_mev_per_atom": 233,
  "dft_energy_ev_per_cell": -15.1,
  "dos_ef_per_ev_fu": 6.8,
  "volume_a3_per_atom": 37.6,
  "cell": [[1.8285, 1.0557, 12.9935], [-1.8285, 1.0557, 12.9935], [0.0000, -2.1114, 12.9935]],
  "species": ["Ba", "La", "Dy", "Dy"],
  "fractional_positions": [[0.0000, 0.0000, 0.0000], [0.5000, 0.5000, 0.5000], [0.0927, 0.0927, 0.0927], [0.9073, 0.9073, 0.9073]]
}


{
  "formula": "BaLaDy",
  "functional": "PBE",
  "state": "optimized geometry",
  "density_g_cm3": 5.98,
  "delta_e_f_mev_per_atom": 167,
  "dft_energy_ev_per_cell": -10.9,
  "dos_ef_per_ev_fu": 5.3,
  "volume_a3_per_atom": 40.6,
  "cell": [[3.8318, 0.0000, 0.0000], [-1.9159, 3.3184, 0.0000], [0.0000, 0.0000, 9.5811]],
  "species": ["Ba", "La", "Dy"],
  "fractional_positions": [[0.0000, 0.0000, 0.0000], [0.3333, 0.6667, 0.6340], [0.6667, 0.3333, 0.3428]]
}


{
  "formula": "BaLa2Dy",
  "functional": "PBE",
  "state": "optimized geometry",
  "density_g_cm3": 5.99,
  "delta_e_f_mev_per_atom": 104,
  "dft_energy_ev_per_cell": -16.0,
  "dos_ef_per_ev_fu": 5.4,
  "volume_a3_per_atom": 40.0,
  "cell": [[3.8137, 0.0000, 0.0000], [0.0000, 3.8137, 0.0000], [0.0000, 0.0000, 11.0010]],
  "species": ["Ba", "La", "La", "Dy"],
  "fractional_positions": [[0.0000, 0.0000, 0.0000], [0.5000, 0.5000, 0.2844], [0.5000, 0.5000, 0.7156], [0.0000, 0.0000, 0.5000]]
}


{
  "formula": "BaLa2Dy",
  "functional": "PBE",
  "state": "optimized geometry",
  "density_g_cm3": 6.07,
  "delta_e_f_mev_per_atom": 114,
  "dft_energy_ev_per_cell": -15.9,
  "dos_ef_per_ev_fu": 5.2,
  "volume_a3_per_atom": 39.5,
  "cell": [[1.8974, 1.0955, 12.6641], [-1.8974, 1.0955, 12.6641], [0.0000, -2.1910, 12.6641]],
  "species": ["Ba", "La", "La", "Dy"],
  "fractional_positions": [[0.0000, 0.0000, 0.0000], [0.2418, 0.2418, 0.2418], [0.7582, 0.7582, 0.7582], [0.5000, 0.5000, 0.5000]]
}


{
  "formula": "BaLaDy2",
  "functional": "PBE",
  "state": "optimized geometry",
  "density_g_cm3": 6.52,
  "delta_e_f_mev_per_atom": 159,
  "dft_energy_ev_per_cell": -15.4,
  "dos_ef_per_ev_fu": 7.5,
  "volume_a3_per_atom": 38.3,
  "cell": [[3.7663, 0.0000, 0.0000], [0.0000, 3.7663, 0.0000], [0.0000, 0.0000, 10.7983]],
  "species": ["Ba", "La", "Dy", "Dy"],
  "fractional_positions": [[0.0000, 0.0000, 0.0000], [0.0000, 0.0000, 0.5000], [0.5000, 0.5000, 0.2779], [0.5000, 0.5000, 0.7221]]
}


{
  "formula": "BaLaDyO4",
  "functional": "PBE",
  "state": "optimized geometry",
  "density_g_cm3": 6.65,
  "raw_formation_energy_ev_per_fu": -21.4,
  "dft_energy_ev_per_cell": -105.3,
  "dos_ef_per_ev_fu": 0.0,
  "volume_a3_per_atom": 17.9,
  "cell": [[3.0847, -6.4837, 0.0000], [3.0847, 6.4837, 0.0000], [0.0000, 0.0000, 6.2799]],
  "species": ["Ba", "Ba", "La", "La", "Dy", "Dy", "O", "O", "O", "O", "O", "O", "O", "O"],
  "fractional_positions": [[0.1044, 0.8956, 0.7500], [0.8956, 0.1044, 0.2500], [0.3883, 0.6117, 0.7500], [0.6117, 0.3883, 0.2500], [0.2505, 0.7495, 0.2500], [0.7495, 0.2505, 0.7500], [0.0000, 0.5000, 0.0000], [0.0000, 0.5000, 0.5000], [0.0838, 0.9162, 0.2500], [0.4448, 0.5552, 0.2500], [0.5000, 0.0000, 0.0000], [0.5000, 0.0000, 0.5000], [0.5552, 0.4448, 0.7500], [0.9162, 0.0838, 0.7500]]
}


{
  "formula": "Ba3La3DySe8",
  "functional": "PBE",
  "state": "optimized geometry",
  "density_g_cm3": 5.36,
  "raw_formation_energy_ev_per_fu": -29.9,
  "dft_energy_ev_per_cell": -83.0,
  "dos_ef_per_ev_fu": 4.8,
  "volume_a3_per_atom": 33.5,
  "cell": [[4.3789, 2.5282, 7.5729], [-4.3789, 2.5282, 7.5729], [0.0000, -5.0564, 7.5729]],
  "species": ["Ba", "Ba", "Ba", "La", "La", "La", "Dy", "Se", "Se", "Se", "Se", "Se", "Se", "Se", "Se"],
  "fractional_positions": [[0.0000, 0.5000, 0.5000], [0.5000, 0.0000, 0.5000], [0.5000, 0.5000, 0.0000], [0.0000, 0.0000, 0.5000], [0.0000, 0.5000, 0.0000], [0.5000, 0.0000, 0.0000], [0.5000, 0.5000, 0.5000], [0.2424, 0.2424, 0.2424], [0.2508, 0.7319, 0.7319], [0.2681, 0.2681, 0.7492], [0.2681, 0.7492, 0.2681], [0.7319, 0.2508, 0.7319], [0.7319, 0.7319, 0.2508], [0.7492, 0.2681, 0.2681], [0.7577, 0.7577, 0.7577]]
}


{
  "formula": "Ba2LaDySe4",
  "functional": "PBE",
  "state": "optimized geometry",
  "density_g_cm3": 6.01,
  "raw_formation_energy_ev_per_fu": -15.4,
  "dft_energy_ev_per_cell": -42.7,
  "dos_ef_per_ev_fu": 4.0,
  "volume_a3_per_atom": 30.8,
  "cell": [[7.5815, 0.0000, 0.0000], [0.0000, 4.3792, 0.0000], [-2.5257, 0.0000, 7.4180]],
  "species": ["Ba", "Ba", "La", "Dy", "Se", "Se", "Se", "Se"],
  "fractional_positions": [[0.0000, 0.0000, 0.0000], [0.5000, 0.5000, 0.0000], [0.0000, 0.5000, 0.5000], [0.5000, 0.0000, 0.5000], [0.2504, 0.0000, 0.7207], [0.2706, 0.5000, 0.2845], [0.7294, 0.5000, 0.7155], [0.7496, 0.0000, 0.2793]]
}